(1)
DFT (PBE) results for an optimized crystal structure of TmAl2Ag2.

The space group is I4/mmm (No. 139) and the conventional cell measures 4.0929, 4.0929 and 11.7517 Å, with angles of 90.00, 90.00 and 90.00 degrees. The distinct sites, in fractional coordinates, are Tm at (0.0000, 0.0000, 0.0000), Al at (0.0000, 0.5000, 0.2500) and Ag at (0.0000, 0.0000, 0.3873).

For the raw total energy, the calculation gives -3.78 eV/atom. Its magnetization is 0.00 μB per cell.

***

(2)
DFT (PBE) results for an optimized crystal structure of CsZrGe.

The space group is F-43m (No. 216) and the conventional cell measures 7.3417, 7.3417 and 7.3417 Å, with angles of 90.00, 90.00 and 90.00 degrees. The distinct sites, in fractional coordinates, are Cs at (0.0000, 0.0000, 0.0000), Zr at (0.0000, 0.0000, 0.5000) and Ge at (0.2500, 0.2500, 0.2500).

For the raw total energy, the calculation gives -3.76 eV/atom. Its magnetization is 4.00 μB per cell.

***

(3)
DFT (PBE) results for an optimized crystal structure of SrHgSeO.

The space group is P2_12_12_1 (No. 19) and the conventional cell measures 6.7135, 7.1348 and 7.5845 Å, with angles of 90.00, 90.00 and 90.00 degrees. The distinct sites, in fractional coordinates, are Sr at (0.1902, 0.0780, 0.4392), Hg at (0.1894, 0.5560, 0.3603), Se at (0.0022, 0.2510, 0.8316) and O at (0.0388, 0.8548, 0.1583).

For the raw total energy, the calculation gives -3.93 eV/atom.

***

(4)
DFT (PBE) results for an optimized crystal structure of YHoAl2Ni4.

The space group is P-6m2 (No. 187) and the conventional cell measures 4.1378, 4.1378 and 8.8851 Å, with angles of 90.00, 90.00 and 120.00 degrees. The distinct sites, in fractional coordinates, are Y at (0.0000, 0.0000, 0.0000), Ho at (0.6667, 0.3333, 0.5000), Al at (0.3333, 0.6667, 0.2514), Ni at (0.0000, 0.0000, 0.3163) and Ni at (0.6667, 0.3333, 0.1898).

For the raw total energy, the calculation gives -5.69 eV/atom. Its magnetization is 0.00 μB per cell.